[1]
The following is a PBE calculation of PmGd2Cd after structural relaxation, from the Alexandria database.

Calculated values
The calculation puts the formation enthalpy at 0 K at -0.1183 eV per atom. For the density of states at the Fermi level, the calculation gives 5.08 states/eV per cell. The mass density is 8.01 g/cm³. As for the space group: No. 123.

Unit cell a=4.900 b=4.900 c=4.940 alpha=90.00 beta=90.00 gamma=90.00
Atoms (fractional coordinates):
Pm 0.000 0.000 0.000
Gd 0.000 0.500 0.500
Gd 0.500 0.000 0.500
Cd 0.500 0.500 0.000

=====

[2]
The following is a PBE calculation of LiCeSO after structural relaxation, from the Alexandria database.

Calculated values
For the density of states at the Fermi level, the calculation gives 12.13 states/eV per cell. The mass density is 4.79 g/cm³. The uncorrected formation energy is -2356.8 meV per atom. As for the space group: No. 129.

Unit cell a=3.935 b=3.935 c=8.736 alpha=90.00 beta=90.00 gamma=90.00
Atoms (fractional coordinates):
Li 0.250 0.750 0.000
Li 0.750 0.250 0.000
Ce 0.250 0.250 0.356
Ce 0.750 0.750 0.644
S 0.250 0.250 0.833
S 0.750 0.750 0.167
O 0.250 0.750 0.500
O 0.750 0.250 0.500